# 1
Density functional theory data (PBE) for a relaxed TaReAu2 crystal.

Calculated values
Energy of formation, eV/atom: 0.52
E above lowest polymorph, meV/atom: 407

a = 6.4930 Å, b = 6.4930 Å, c = 6.4930 Å
α = 90.00°, β = 90.00°, γ = 90.00°
Last column: nearest neighbours and their distance in Å.
Space group Fm-3m (No. 225)
Symmetry-distinct sites (fractional):
Ta (0.0000, 0.0000, 0.0000) x4  8 Au 2.81
Re (0.0000, 0.0000, 0.5000) x4  8 Au 2.81
Au (0.2500, 0.2500, 0.2500) x8  4 Ta 2.81, 4 Re 2.81

---

# 2
Density functional theory data (PBE) for a relaxed KUAs2S8 crystal.

Calculated values
ΔE_f (raw), eV per atom: -0.4399

a = 6.2899 Å, b = 6.2899 Å, c = 29.6515 Å
α = 90.00°, β = 90.00°, γ = 120.00°
Last column: nearest neighbours and their distance in Å.
Space group R-3 (No. 148, hexagonal axes)
Symmetry-distinct sites (fractional):
K (0.0000, 0.0000, 0.0000) x3  12 S 3.68-3.99
U (0.0000, 0.0000, 0.5000) x3  6 S 2.62
As (0.0000, 0.0000, 0.2432) x6  4 S 2.10-2.26
S (0.0000, 0.0000, 0.3139) x6  1 As 2.10
S (0.0024, 0.3224, 0.8839) x18  1 As 2.26

---

# 3
Density functional theory data (PBE) for a relaxed Pr4In crystal.

Calculated values
Energy of formation, eV/atom: -0.16
E above lowest polymorph, meV/atom: 0

a = 9.7832 Å, b = 5.6715 Å, c = 6.8576 Å
α = 90.00°, β = 118.05°, γ = 90.00°
Last column: nearest neighbours and their distance in Å.
Space group C2/m (No. 12)
Symmetry-distinct sites (fractional):
Pr (0.1058, 0.0000, 0.3173) x4  3 In 3.45, 5 Pr 3.66-3.85
Pr (0.1825, 0.5000, 0.0463) x4  1 In 3.31, 6 Pr 3.31-3.66
In (0.0000, 0.5000, 0.5000) x2  8 Pr 3.31-3.45

---

# 4
Density functional theory data (PBE) for a relaxed Hf2SnMo crystal.

Calculated values
Energy of formation, eV/atom: -0.29

a = 3.5299 Å, b = 3.5299 Å, c = 6.4122 Å
α = 90.00°, β = 90.00°, γ = 90.00°
Last column: nearest neighbours and their distance in Å.
Space group P4/mmm (No. 123)
Symmetry-distinct sites (fractional):
Hf (0.0000, 0.0000, 0.2320) x2  4 Mo 2.91, 1 Hf 2.98, 4 Sn 3.03
Sn (0.5000, 0.5000, 0.5000) x1  8 Hf 3.03, 2 Mo 3.21
Mo (0.5000, 0.5000, 0.0000) x1  8 Hf 2.91, 2 Sn 3.21

---

# 5
Density functional theory data (PBE) for a relaxed UI3F crystal.

Calculated values
E above lowest polymorph, meV/atom: 0
ΔE_f (raw), eV per atom: -1.4943

a = 14.1176 Å, b = 14.1176 Å, c = 4.5405 Å
α = 90.00°, β = 90.00°, γ = 90.00°
Last column: nearest neighbours and their distance in Å.
Space group P4_2/mnm (No. 136)
Symmetry-distinct sites (fractional):
U (0.1158, 0.1158, 0.0000) x4  2 F 2.27
I (0.1029, 0.3202, 0.0000) x8  1 U 2.89
I (0.1041, 0.8959, 0.0000) x4  2 U 3.11
F (0.1097, 0.1097, 0.5000) x4  2 U 2.27

---

# 6
Density functional theory data (PBE) for a relaxed Nd2CoSi5 crystal.

Calculated values
ΔE_f (raw), eV per atom: -0.4526

a = 5.7740 Å, b = 5.7740 Å, c = 9.0706 Å
α = 90.00°, β = 90.00°, γ = 90.00°
Last column: nearest neighbours and their distance in Å.
Space group I4mm (No. 107)
Symmetry-distinct sites (fractional):
Nd (0.0000, 0.5000, 0.0000) x4  10 Si 2.94-3.12
Co (0.0000, 0.0000, 0.1916) x2  5 Si 2.29-2.35
Si (0.0000, 0.0000, 0.9389) x2  1 Co 2.29, 4 Si 2.52
Si (0.2175, 0.2175, 0.7414) x8  1 Co 2.35, 3 Si 2.51-2.52

---

# 7
Density functional theory data (PBE) for a relaxed BeCr2Br crystal.

Calculated values
E above lowest polymorph, meV/atom: 0
ΔE_f (raw), eV per atom: 0.3787

a = 3.1494 Å, b = 3.1088 Å, c = 6.4593 Å
α = 90.00°, β = 90.53°, γ = 90.00°
Last column: nearest neighbours and their distance in Å.
Space group Pm (No. 6)
Symmetry-distinct sites (fractional):
Be (0.0000, 0.0000, 0.0000) x1  2 Br 2.26, 5 Cr 2.37-2.49
Cr (0.0066, 0.0000, 0.3676) x1  1 Be 2.37, 4 Cr 2.53
Cr (0.5028, 0.5000, 0.1765) x1  4 Be 2.49, 4 Cr 2.53
Br (0.0011, 0.5000, 0.7451) x1  2 Be 2.26

---

# 8
Density functional theory data (PBE) for a relaxed SrNdHg4 crystal.

Calculated values
Energy of formation, eV/atom: -0.42
E above lowest polymorph, meV/atom: 5

a = 10.9316 Å, b = 4.0239 Å, c = 8.2218 Å
α = 90.00°, β = 111.93°, γ = 90.00°
Last column: nearest neighbours and their distance in Å.
Space group C2/m (No. 12)
Symmetry-distinct sites (fractional):
Sr (0.0000, 0.0000, 0.0000) x2  10 Hg 3.35-3.40
Nd (0.0000, 0.0000, 0.5000) x2  10 Hg 3.30-3.35
Hg (0.1700, 0.5000, 0.3433) x4  5 Hg 3.22-3.44, 3 Nd 3.31-3.35, 2 Sr 3.40
Hg (0.1695, 0.5000, 0.8240) x4  5 Hg 3.29-3.44, 2 Nd 3.30, 3 Sr 3.35-3.40

---

# 9
Density functional theory data (PBE) for a relaxed SrCa2H4 crystal.

a = 4.4701 Å, b = 4.4701 Å, c = 12.8504 Å
α = 90.00°, β = 90.00°, γ = 90.00°
Last column: nearest neighbours and their distance in Å.
Space group I4/mmm (No. 139)
Symmetry-distinct sites (fractional):
Sr (0.0000, 0.0000, 0.0000) x2  6 H 2.24-2.35
Ca (0.0000, 0.0000, 0.3513) x4  1 H 2.16
H (0.0000, 0.0000, 0.1830) x4  1 Ca 2.16, 1 Sr 2.35
H (0.0000, 0.5000, 0.0000) x4  2 Sr 2.24

---

# 10
Density functional theory data (PBE) for a relaxed La2NdHo4Tm crystal.

Calculated values
Energy of formation, eV/atom: 0.02

a = 12.4405 Å, b = 7.2013 Å, c = 12.3999 Å
α = 90.00°, β = 109.43°, γ = 90.00°
Last column: nearest neighbours and their distance in Å.
Space group C2/m (No. 12)
Symmetry-distinct sites (fractional):
La (0.0000, 0.0000, 0.0000) x2  4 La 3.59, 2 Nd 3.60, 6 Ho 3.61-3.62
La (0.0000, 0.0000, 0.5000) x2  6 Ho 3.56, 4 Tm 3.59, 2 Nd 3.60
La (0.2500, 0.2500, 0.0000) x4  4 La 3.59-3.60, 2 Nd 3.59, 6 Ho 3.62-3.63
Nd (0.0000, 0.5000, 0.0000) x2  6 La 3.59-3.60, 6 Ho 3.61
Nd (0.0000, 0.5000, 0.5000) x2  6 Ho 3.55-3.56, 4 Tm 3.59, 2 La 3.60
Ho (0.0012, 0.2501, 0.2530) x8  2 Nd 3.56-3.61, 1 Tm 3.56, 3 La 3.56-3.62, 6 Ho 3.58-3.61
Ho (0.2492, 0.5000, 0.7459) x4  2 Tm 3.54, 1 Nd 3.55, 6 Ho 3.58-3.60, 3 La 3.62-3.63
Ho (0.2497, 0.0000, 0.7466) x4  2 Tm 3.55, 3 La 3.56-3.62, 6 Ho 3.58-3.61, 1 Nd 3.61
Tm (0.2500, 0.2500, 0.5000) x4  6 Ho 3.54-3.56, 2 La 3.59, 2 Nd 3.59, 2 Tm 3.60

---

# 11
Density functional theory data (PBE) for a relaxed Ce4TmS5 crystal.

Calculated values
ΔE_f (raw), eV per atom: -2.0216

a = 8.9017 Å, b = 8.9017 Å, c = 5.6370 Å
α = 90.00°, β = 90.00°, γ = 90.00°
Last column: nearest neighbours and their distance in Å.
Space group I4/m (No. 87)
Symmetry-distinct sites (fractional):
Ce (0.0981, 0.3018, 0.0000) x8  6 S 2.82-2.87
Tm (0.0000, 0.0000, 0.5000) x2  6 S 2.74-2.82
S (0.0000, 0.0000, 0.0000) x2  2 Tm 2.82, 4 Ce 2.82
S (0.0986, 0.2910, 0.5000) x8  1 Tm 2.74, 5 Ce 2.82-2.87

---

# 12
Density functional theory data (PBE) for a relaxed SrTb2Tl3Se6 crystal.

Calculated values
ΔE_f (raw), eV per atom: -1.2789

a = 19.5323 Å, b = 4.2668 Å, c = 9.0490 Å
α = 90.00°, β = 106.08°, γ = 90.00°
Last column: nearest neighbours and their distance in Å.
Space group C2/m (No. 12)
Symmetry-distinct sites (fractional):
Sr (0.0000, 0.0000, 0.0000) x2  6 Se 3.10-3.12
Tb (0.1696, 0.5000, 0.3353) x4  6 Se 2.87-2.92
Tl (0.0000, 0.0000, 0.5000) x2  6 Se 3.15-3.32
Tl (0.1652, 0.5000, 0.8325) x4  6 Se 3.20-3.42
Se (0.0166, 0.5000, 0.2556) x4  1 Tb 2.87, 2 Sr 3.10, 2 Tl 3.15
Se (0.1660, 0.0000, 0.1172) x4  2 Tb 2.89, 1 Sr 3.12, 1 Tl 3.20
Se (0.1753, 0.0000, 0.5594) x4  3 Tb 2.91-2.92

---

# 13
Density functional theory data (PBE) for a relaxed CrFe2Tc crystal.

Calculated values
Energy of formation, eV/atom: 0.09

a = 2.9670 Å, b = 4.0056 Å, c = 8.3365 Å
α = 90.00°, β = 90.00°, γ = 90.00°
Last column: nearest neighbours and their distance in Å.
Space group Immm (No. 71)
Symmetry-distinct sites (fractional):
Cr (0.0000, 0.0000, 0.0000) x2  4 Tc 2.49, 4 Fe 2.53
Fe (0.0000, 0.5000, 0.2542) x4  4 Fe 2.49, 2 Cr 2.53, 2 Tc 2.59
Tc (0.0000, 0.0000, 0.5000) x2  4 Cr 2.49, 4 Fe 2.59

---

# 14
Density functional theory data (PBE) for a relaxed MoP2Au crystal.

Calculated values
Energy of formation, eV/atom: 0.66
E above lowest polymorph, meV/atom: 697

a = 6.3291 Å, b = 6.3291 Å, c = 6.3291 Å
α = 90.00°, β = 90.00°, γ = 90.00°
Last column: nearest neighbours and their distance in Å.
Space group F-43m (No. 216)
Symmetry-distinct sites (fractional):
Mo (0.0000, 0.0000, 0.0000) x4  4 P 2.74, 4 Au 2.74
P (0.0000, 0.0000, 0.5000) x4  4 P 2.74, 4 Au 2.74
P (0.2500, 0.2500, 0.2500) x4  4 Mo 2.74, 4 P 2.74
Au (0.2500, 0.2500, 0.7500) x4  4 Mo 2.74, 4 P 2.74

---

# 15
Density functional theory data (PBE) for a relaxed BeHO2 crystal.

Calculated values
E above lowest polymorph, meV/atom: 0

a = 4.4403 Å, b = 6.5609 Å, c = 5.1261 Å
α = 90.00°, β = 90.00°, γ = 90.00°
Last column: nearest neighbours and their distance in Å.
Space group Cmcm (No. 63)
Symmetry-distinct sites (fractional):
Be (0.0000, 0.0000, 0.0000) x4  4 O 1.65
H (0.0000, 0.4990, 0.2500) x4  2 O 1.18
O (0.2352, 0.0006, 0.7500) x8  1 H 1.18

---

# 16
Density functional theory data (PBE) for a relaxed Ac2NiAg crystal.

Calculated values
Energy of formation, eV/atom: -0.20

a = 4.3299 Å, b = 4.3299 Å, c = 23.1943 Å
α = 90.00°, β = 90.00°, γ = 120.00°
Last column: nearest neighbours and their distance in Å.
Space group R3m (No. 160, hexagonal axes)
Symmetry-distinct sites (fractional):
Ac (0.0000, 0.0000, 0.0000) x3  3 Ni 3.00
Ac (0.0000, 0.0000, 0.1927) x3  3 Ni 2.97
Ni (0.0000, 0.0000, 0.5952) x3  6 Ac 2.97-3.00
Ag (0.0000, 0.0000, 0.4302) x3  6 Ac 3.34-3.36

---

# 17
Density functional theory data (PBE) for a relaxed BeSi2W crystal.

Calculated values
ΔE_f (raw), eV per atom: 0.3075

a = 3.3820 Å, b = 4.2011 Å, c = 7.5303 Å
α = 90.00°, β = 90.00°, γ = 90.00°
Last column: nearest neighbours and their distance in Å.
Space group Cmm2 (No. 35)
Symmetry-distinct sites (fractional):
Be (0.0000, 0.0000, 0.0000) x2  2 Si 2.34, 2 W 2.46
Si (0.0000, 0.0000, 0.4955) x2  4 W 2.62-2.90, 6 Si 2.70
Si (0.0000, 0.5000, 0.2155) x2  2 Be 2.34
W (0.0000, 0.5000, 0.7620) x2  2 Be 2.46, 2 Si 2.62, 4 W 2.70

---

# 18
Density functional theory data (PBE) for a relaxed Ce2SnGe crystal.

Calculated values
Energy of formation, eV/atom: -0.63

a = 6.1597 Å, b = 4.1871 Å, c = 8.9047 Å
α = 90.00°, β = 107.40°, γ = 90.00°
Last column: nearest neighbours and their distance in Å.
Space group P2_1/m (No. 11)
Symmetry-distinct sites (fractional):
Ce (0.1878, 0.2500, 0.4221) x2  2 Ge 3.08, 4 Sn 3.19-3.35
Ce (0.2787, 0.7500, 0.0595) x2  3 Ge 3.09-3.10, 3 Sn 3.23-3.38
Sn (0.3820, 0.7500, 0.7078) x2  2 Ge 2.89, 5 Ce 3.19-3.24
Ge (0.1190, 0.2500, 0.7949) x2  2 Sn 2.89, 5 Ce 3.08-3.10

---

# 19
Density functional theory data (PBE) for a relaxed Pr5HgAu4 crystal.

Calculated values
Energy of formation, eV/atom: -0.69

a = 3.7621 Å, b = 3.7621 Å, c = 18.9009 Å
α = 90.00°, β = 90.00°, γ = 90.00°
Last column: nearest neighbours and their distance in Å.
Space group P4/mmm (No. 123)
Symmetry-distinct sites (fractional):
Pr (0.0000, 0.0000, 0.0000) x1  8 Au 3.24
Pr (0.0000, 0.0000, 0.1976) x2  8 Au 3.25-3.26
Pr (0.0000, 0.0000, 0.3936) x2  4 Au 3.23, 4 Hg 3.33
Hg (0.5000, 0.5000, 0.5000) x1  8 Pr 3.33
Au (0.5000, 0.5000, 0.0982) x2  8 Pr 3.24-3.26
Au (0.5000, 0.5000, 0.2965) x2  8 Pr 3.23-3.25

---

# 20
Density functional theory data (PBE) for a relaxed Th2MgPa crystal.

Calculated values
Energy of formation, eV/atom: 0.27
E above lowest polymorph, meV/atom: 145

a = 7.6937 Å, b = 7.6937 Å, c = 7.6937 Å
α = 90.00°, β = 90.00°, γ = 90.00°
Last column: nearest neighbours and their distance in Å.
Space group Fm-3m (No. 225)
Symmetry-distinct sites (fractional):
Th (0.2500, 0.2500, 0.2500) x8  4 Pa 3.33, 4 Mg 3.33
Mg (0.0000, 0.0000, 0.0000) x4  8 Th 3.33
Pa (0.0000, 0.0000, 0.5000) x4  8 Th 3.33

---

Number 1: total moment 0.000 μB per atom, electronic total energy -28.8 eV per formula unit. Number 2: total moment 0.086 μB per atom, electronic total energy -60.0 eV per formula unit. Number 3: total moment 0.000 μB per atom, electronic total energy -22.7 eV per formula unit. Number 4: total moment 0.000 μB per atom, electronic total energy -35.9 eV per formula unit. Number 5: total moment 0.400 μB per atom, electronic total energy -25.3 eV per formula unit. Number 6: total moment 0.000 μB per atom, electronic total energy -47.4 eV per formula unit. Number 7: total moment 0.202 μB per atom, electronic total energy -23.1 eV per formula unit. Number 8: total moment 0.000 μB per atom, electronic total energy -10.2 eV per formula unit. Number 9: total moment 0.000 μB per atom, electronic total energy -20.3 eV per formula unit. Number 10: total moment 0.000 μB per atom, electronic total energy -37.2 eV per formula unit. Number 11: total moment 0.198 μB per atom, electronic total energy -69.1 eV per formula unit. Number 12: total moment 0.000 μB per atom, electronic total energy -54.3 eV per formula unit. Number 13: total moment 1.195 μB per atom, electronic total energy -36.6 eV per formula unit. Number 14: total moment 0.000 μB per atom, electronic total energy -22.3 eV per formula unit. Number 15: total moment 0.164 μB per atom, electronic total energy -21.7 eV per formula unit. Number 16: total moment 0.000 μB per atom, electronic total energy -17.6 eV per formula unit. Number 17: total moment 0.000 μB per atom, electronic total energy -26.3 eV per formula unit. Number 18: total moment 0.453 μB per atom, electronic total energy -23.0 eV per formula unit. Number 19: total moment 0.000 μB per atom, electronic total energy -44.2 eV per formula unit. Number 20: total moment 0.000 μB per atom, electronic total energy -24.9 eV per formula unit.